DFT (meta-GGA SCAN) results for a crystal of Ba5Al3 relaxed with PBEsol.

DFT formation energy = 0.034 eV per atom
total energy = -27.5919 eV per atom

Unit cell a=5.8315 b=7.3140 c=7.3140 alpha=106.99 beta=90.00 gamma=90.00
Positions (direct):
Al (0.5000, 0.2241, 0.7759)
Ba (0.0000, 0.0000, 0.0000)
Ba (0.0000, 0.5000, 0.0000)
Ba (0.5000, 0.7086, 0.7086)
Ba (0.5000, 0.2914, 0.2914)
Ba (0.0000, 0.0000, 0.5000)
Al (0.0000, 0.5000, 0.5000)
Al (0.5000, 0.7759, 0.2241)